Density functional theory data (PBE) for a relaxed FeTcW2Cl crystal.

Formation energy (no corrections) = 2097 meV per atom
Fermi-level density of states = 1.9526 states/eV per atom
VASP energy = -36.094 eV per cell

Structure (CIF):
```
data_FeTcW2Cl
_symmetry_space_group_name_H-M 'P 4/m m m'
_symmetry_Int_Tables_number 123
_symmetry_space_group_name_Hall '-P 4 2'
_cell_length_a 4.792
_cell_length_b 4.792
_cell_length_c 4.423
_cell_angle_alpha 90.00
_cell_angle_beta 90.00
_cell_angle_gamma 90.00
loop_
_atom_site_label
_atom_site_type_symbol
_atom_site_fract_x
_atom_site_fract_y
_atom_site_fract_z
_atom_site_occupancy
Fe1 Fe 0.000 0.000 0.000 1
Tc1 Tc 0.000 0.000 0.500 1
W1 W 0.000 0.500 0.500 1
Cl1 Cl 0.500 0.500 0.000 1
```

---

Density functional theory data (PBE) for a relaxed CdPPdCl2 crystal.

Formation energy (no corrections) = 64 meV per atom
Fermi-level density of states = 0.4372 states/eV per atom
Distance to the lowest polymorph of the same formula = 0 meV per atom
VASP energy = -14.891 eV per cell

Structure (CIF):
```
data_CdPPdCl2
_symmetry_space_group_name_H-M 'P 4/m m m'
_symmetry_Int_Tables_number 123
_symmetry_space_group_name_Hall '-P 4 2'
_cell_length_a 4.899
_cell_length_b 4.899
_cell_length_c 4.798
_cell_angle_alpha 90.00
_cell_angle_beta 90.00
_cell_angle_gamma 90.00
loop_
_atom_site_label
_atom_site_type_symbol
_atom_site_fract_x
_atom_site_fract_y
_atom_site_fract_z
_atom_site_occupancy
Cd1 Cd 0.000 0.000 0.000 1
P1 P 0.500 0.500 0.000 1
Pd1 Pd 0.500 0.500 0.500 1
Cl1 Cl 0.000 0.500 0.500 1
```

---

Density functional theory data (PBE) for a relaxed Mn13C2 crystal.

Fermi-level density of states = 1.1656 states/eV per atom
Formation energy from the elements = 126 meV per atom
VASP energy = -135.757 eV per cell

Structure (CIF):
```
data_Mn13C2
_symmetry_space_group_name_H-M 'P -1'
_symmetry_Int_Tables_number 2
_symmetry_space_group_name_Hall '-P 1'
_cell_length_a 4.292
_cell_length_b 5.936
_cell_length_c 6.360
_cell_angle_alpha 90.05
_cell_angle_beta 98.55
_cell_angle_gamma 105.10
loop_
_atom_site_label
_atom_site_type_symbol
_atom_site_fract_x
_atom_site_fract_y
_atom_site_fract_z
_atom_site_occupancy
Mn1 Mn 0.000 0.000 0.000 1
Mn2 Mn 0.067 0.679 0.388 1
Mn3 Mn 0.141 0.753 0.752 1
Mn4 Mn 0.204 0.419 0.982 1
Mn5 Mn 0.284 0.094 0.451 1
Mn6 Mn 0.468 0.847 0.146 1
Mn7 Mn 0.487 0.504 0.673 1
C1 C 0.394 0.192 0.164 1
```

---

Density functional theory data (PBE) for a relaxed LiCa2Sn3Au4 crystal.

Fermi-level density of states = 0.5479 states/eV per atom
Formation energy from the elements = -528 meV per atom
VASP energy = -36.313 eV per cell

Structure (CIF):
```
data_LiCa2Sn3Au4
_symmetry_space_group_name_H-M 'P -4 m 2'
_symmetry_Int_Tables_number 115
_symmetry_space_group_name_Hall 'P -4 -2'
_cell_length_a 4.566
_cell_length_b 4.566
_cell_length_c 11.450
_cell_angle_alpha 90.00
_cell_angle_beta 90.00
_cell_angle_gamma 90.00
loop_
_atom_site_label
_atom_site_type_symbol
_atom_site_fract_x
_atom_site_fract_y
_atom_site_fract_z
_atom_site_occupancy
Li1 Li 0.000 0.000 0.000 1
Ca1 Ca 0.000 0.500 0.740 1
Sn1 Sn 0.000 0.500 0.362 1
Sn2 Sn 0.500 0.500 0.000 1
Au1 Au 0.000 0.000 0.500 1
Au2 Au 0.000 0.500 0.130 1
Au3 Au 0.500 0.500 0.500 1
```

---

Density functional theory data (PBE) for a relaxed SmDyMnIn crystal.

Fermi-level density of states = 1.1968 states/eV per atom
Formation energy from the elements = -85 meV per atom
VASP energy = -86.273 eV per cell

Structure (CIF):
```
data_SmDyMnIn
_symmetry_space_group_name_H-M 'F -4 3 m'
_symmetry_Int_Tables_number 216
_symmetry_space_group_name_Hall 'F -4 2 3'
_cell_length_a 7.428
_cell_length_b 7.428
_cell_length_c 7.428
_cell_angle_alpha 90.00
_cell_angle_beta 90.00
_cell_angle_gamma 90.00
loop_
_atom_site_label
_atom_site_type_symbol
_atom_site_fract_x
_atom_site_fract_y
_atom_site_fract_z
_atom_site_occupancy
Sm1 Sm 0.000 0.000 0.000 1
Dy1 Dy 0.000 0.000 0.500 1
Mn1 Mn 0.250 0.250 0.750 1
In1 In 0.250 0.250 0.250 1
```

---

Density functional theory data (PBE) for a relaxed La3GaCuSe7 crystal.

Formation energy (no corrections) = -1431 meV per atom
Fermi-level density of states = 0.5628 states/eV per atom
VASP energy = -126.930 eV per cell

Structure (CIF):
```
data_La3GaCuSe7
_symmetry_space_group_name_H-M 'P 63'
_symmetry_Int_Tables_number 173
_symmetry_space_group_name_Hall 'P 6c'
_cell_length_a 10.7254
_cell_length_b 10.7254
_cell_length_c 6.2227
_cell_angle_alpha 90.00
_cell_angle_beta 90.00
_cell_angle_gamma 120.00
loop_
_atom_site_label
_atom_site_type_symbol
_atom_site_fract_x
_atom_site_fract_y
_atom_site_fract_z
_atom_site_occupancy
La1 La 0.1366 0.7716 0.0000 1
Ga1 Ga 0.3333 0.6667 0.4135 1
Cu1 Cu 0.0000 0.0000 0.0229 1
Se1 Se 0.0929 0.5158 0.2637 1
Se2 Se 0.0949 0.8419 0.5128 1
Se3 Se 0.3333 0.6667 0.7981 1
```